The following is a GGA+U calculation of crystalline BaTb2Mo4O16 at its relaxed geometry, from Alexandria.

Cell lengths 6.8921, 6.8921, 19.9861 Å; angles 89.23, 89.23, 134.70 degrees
Atoms (fractional coordinates):
Mo 0.9522 0.0716 0.9105
O 0.5655 0.0870 0.0662
Tb 0.3492 0.6458 0.4688
O 0.0870 0.5655 0.5662
O 0.9667 0.8005 0.3326
O 0.7218 0.7574 0.9644
O 0.4873 0.7604 0.6716
O 0.9906 0.3315 0.9568
Tb 0.3542 0.6508 0.0312
Tb 0.6508 0.3542 0.5312
Ba 0.5307 0.4693 0.7500
Mo 0.7595 0.2421 0.1455
O 0.9130 0.4345 0.4338
O 0.1141 0.4174 0.1308
O 0.0119 0.3960 0.2914
Mo 0.0716 0.9522 0.4105
O 0.0094 0.6685 0.0432
O 0.8005 0.9667 0.8326
Mo 0.0478 0.9284 0.0895
Mo 0.2405 0.7579 0.8545
O 0.6040 0.9881 0.2086
O 0.7604 0.4873 0.1716
O 0.6685 0.0094 0.5432
O 0.8859 0.5826 0.8692
Mo 0.2421 0.7595 0.6455
Ba 0.4693 0.5307 0.2500
O 0.2396 0.5127 0.8284
O 0.1796 0.2762 0.4004
O 0.5826 0.8859 0.3692
O 0.3960 0.0119 0.7914
O 0.8204 0.7238 0.5996
Mo 0.7579 0.2405 0.3545
O 0.2762 0.1796 0.9004
O 0.1995 0.0333 0.1674
O 0.5127 0.2396 0.3284
O 0.0333 0.1995 0.6674
O 0.4345 0.9130 0.9338
Mo 0.9284 0.0478 0.5895
O 0.4174 0.1141 0.6308
Tb 0.6458 0.3492 0.9688
O 0.3315 0.9906 0.4568
O 0.7574 0.7218 0.4644
O 0.9881 0.6040 0.7086
O 0.7238 0.8204 0.0996
O 0.2426 0.2782 0.5356
O 0.2782 0.2426 0.0356

Calculated values
- raw total energy (eV per atom) = -7.415
- symmetry = No. 15
- crystal system = monoclinic
- volume (Å³/atom) = 14.7